A.
# SrSi2W meta-GGA SCAN PBEsol geometry
# magnetization	3.11	Bohr magnetons per cell
data_SrSi2W
_chemical_formula_sum 'Sr2 Si4 W2'
_space_group_name_H-M_alt 'I 4/m m m'
_space_group_IT_number 139
_space_group_name_Hall '-I 4 2'
_cell_length_a 4.4538
_cell_length_b 4.4538
_cell_length_c 7.1689
_cell_angle_alpha 90.00
_cell_angle_beta 90.00
_cell_angle_gamma 90.00
loop_
_atom_site_label
_atom_site_type_symbol
_atom_site_fract_x
_atom_site_fract_y
_atom_site_fract_z
Sr1 Sr 0.0000 0.0000 0.0000
Si1 Si 0.0000 0.5000 0.2500
W1 W 0.0000 0.0000 0.5000

---

B.
# SrSi2W meta-GGA SCAN PBEsol geometry
# magnetization	0.00	Bohr magnetons per cell
data_SrSi2W
_chemical_formula_sum 'Sr2 Si4 W2'
_space_group_name_H-M_alt 'C 1 m 1'
_space_group_IT_number 8
_cell_length_a 8.3425
_cell_length_b 3.2632
_cell_length_c 7.0548
_cell_angle_alpha 90.00
_cell_angle_beta 119.60
_cell_angle_gamma 90.00
loop_
_space_group_symop_operation_xyz
'x,y,z'
'x,-y,z'
'x+1/2,y+1/2,z'
'x+1/2,-y+1/2,z'
loop_
_atom_site_label
_atom_site_type_symbol
_atom_site_fract_x
_atom_site_fract_y
_atom_site_fract_z
Sr1 Sr 0.0000 0.0000 0.0000
Si1 Si 0.1305 0.0000 0.6220
Si2 Si 0.4325 0.0000 0.3427
W1 W 0.2790 0.5000 0.4724

---

C.
# SrSi2W meta-GGA SCAN PBEsol geometry
# magnetization	0.00	Bohr magnetons per cell
data_SrSi2W
_chemical_formula_sum 'Sr4 Si8 W4'
_space_group_name_H-M_alt 'I 41/a m d'
_space_group_IT_number 141
_cell_length_a 5.0914
_cell_length_b 5.0914
_cell_length_c 15.9750
_cell_angle_alpha 90.00
_cell_angle_beta 90.00
_cell_angle_gamma 90.00
loop_
_space_group_symop_operation_xyz
'x,y,z'
'-x,-y,-z'
'-y+1/4,x+3/4,z+1/4'
'y+1/4,-x+3/4,-z+1/4'
'-x+1/2,-y,z+1/2'
'x+1/2,y,-z+1/2'
'y+1/4,-x+1/4,z+3/4'
'-y+1/4,x+1/4,-z+3/4'
'x,-y,-z'
'-x,y,z'
'-y+1/4,-x+1/4,-z+3/4'
'y+1/4,x+1/4,z+3/4'
'-x+1/2,y,-z+1/2'
'x+1/2,-y,z+1/2'
'y+1/4,x+3/4,-z+1/4'
'-y+1/4,-x+3/4,z+1/4'
'x+1/2,y+1/2,z+1/2'
'-x+1/2,-y+1/2,-z+1/2'
'-y+3/4,x+1/4,z+3/4'
'y+3/4,-x+1/4,-z+3/4'
'-x,-y+1/2,z'
'x,y+1/2,-z'
'y+3/4,-x+3/4,z+1/4'
'-y+3/4,x+3/4,-z+1/4'
'x+1/2,-y+1/2,-z+1/2'
'-x+1/2,y+1/2,z+1/2'
'-y+3/4,-x+3/4,-z+1/4'
'y+3/4,x+3/4,z+1/4'
'-x,y+1/2,-z'
'x,-y+1/2,z'
'y+3/4,x+1/4,-z+3/4'
'-y+3/4,-x+1/4,z+3/4'
loop_
_atom_site_label
_atom_site_type_symbol
_atom_site_fract_x
_atom_site_fract_y
_atom_site_fract_z
Sr1 Sr 0.0000 0.2500 0.3750
Si1 Si 0.0000 0.0000 0.0000
W1 W 0.0000 0.2500 0.8750

---

Energetically preferred structure: B | next structure: +134 meV per atom

---

A.
# Sr2ZnSi meta-GGA SCAN PBEsol geometry
# magnetization	0.00	Bohr magnetons per cell
data_Sr2ZnSi
_chemical_formula_sum 'Sr8 Zn4 Si4'
_space_group_name_H-M_alt 'F m -3 m'
_space_group_IT_number 225
_space_group_name_Hall '-F 4 2 3'
_cell_length_a 7.5562
_cell_length_b 7.5562
_cell_length_c 7.5562
_cell_angle_alpha 90.00
_cell_angle_beta 90.00
_cell_angle_gamma 90.00
loop_
_atom_site_label
_atom_site_type_symbol
_atom_site_fract_x
_atom_site_fract_y
_atom_site_fract_z
Sr1 Sr 0.2500 0.2500 0.2500
Zn1 Zn 0.0000 0.0000 0.0000
Si1 Si 0.0000 0.0000 0.5000

---

B.
# Sr2ZnSi meta-GGA SCAN PBEsol geometry
# magnetization	0.00	Bohr magnetons per cell
data_Sr2ZnSi
_chemical_formula_sum 'Sr4 Zn2 Si2'
_space_group_name_H-M_alt 'A m m 2'
_space_group_IT_number 38
_cell_length_a 4.2895
_cell_length_b 4.6141
_cell_length_c 11.5890
_cell_angle_alpha 90.00
_cell_angle_beta 90.00
_cell_angle_gamma 90.00
loop_
_space_group_symop_operation_xyz
'x,y,z'
'-x,-y,z'
'-x,y,z'
'x,-y,z'
'x,y+1/2,z+1/2'
'-x,-y+1/2,z+1/2'
'-x,y+1/2,z+1/2'
'x,-y+1/2,z+1/2'
loop_
_atom_site_label
_atom_site_type_symbol
_atom_site_fract_x
_atom_site_fract_y
_atom_site_fract_z
Sr1 Sr 0.0000 0.0000 0.0000
Sr2 Sr 0.5000 0.0000 0.2837
Zn1 Zn 0.0000 0.0000 0.6912
Si1 Si 0.5000 0.0000 0.5789

---

Energetically preferred structure: B | next structure: +55 meV per atom